{"formula": "KCrPO6", "functional": "PBE+U", "state": "relaxed", "lattice": [[4.788, 0.000, 0.002], [2.394, 4.146, 0.001], [0.001, 0.000, 6.046]], "species": ["O", "O", "O", "O", "O", "O", "Cr", "P", "K"], "fractional_positions": [[0.595, 0.390, 0.668], [0.025, 0.370, 0.339], [0.015, 0.595, 0.668], [0.605, 0.025, 0.339], [0.370, 0.605, 0.339], [0.390, 0.015, 0.668], [0.667, 0.667, 0.474], [0.333, 0.333, 0.520], [0.000, 0.000, 0.986]], "dft_energy_ev_per_fu": -57.332, "vol_a3_per_atom": 13.3, "rho_g_cm3": 3.017}